(1)
Material: NaGa2NiHg
Method: DFT, PBE
State: optimized geometry

Cell and atoms, written as POSCAR:
```
NaGa2NiHg
1.0
4.601 0.000 0.000
0.000 4.601 0.000
0.000 0.000 5.103
Na Ga Hg Ni
1 2 1 1
direct
0.500 0.500 0.500 Na
0.500 0.000 0.000 Ga
0.000 0.500 0.000 Ga
0.000 0.000 0.500 Hg
0.000 0.000 0.000 Ni
```

Output
DOS(E_F) (states/eV/cell): 2.43
Total moment (μB per cell): 0.000
Volume (A^3/atom): 21.61
DFT formation energy (eV/atom): -0.125
Total energy (eV per atom): -2.82


(2)
Material: NdDyTh2Sb4
Method: DFT, PBE
State: optimized geometry

Cell and atoms, written as POSCAR:
```
NdDyTh2Sb4
1.0
-2.664 -1.557 -3.262
3.083 -7.048 0.846
-4.082 -4.024 5.255
Dy Nd Sb Th
1 1 4 2
direct
0.000 0.500 0.500 Dy
0.500 0.500 0.000 Nd
0.500 0.744 0.256 Sb
0.000 0.748 0.747 Sb
0.500 0.256 0.744 Sb
0.000 0.252 0.253 Sb
0.000 0.000 0.000 Th
0.500 0.000 0.500 Th
```

Output
DOS(E_F) (states/eV/cell): 4.47
Formation energy (no corrections) (eV per atom): -1.04
Total moment (μB per cell): 0.000
Volume (A^3/atom): 31.81
Total energy (eV per atom): -6.13


(3)
Material: Ni4Os
Method: DFT, PBE
State: optimized geometry

Cell and atoms, written as POSCAR:
```
Ni4Os
1.0
4.446 0.000 0.000
0.000 4.446 0.000
0.000 0.000 4.446
Ni Os
4 1
direct
0.500 0.500 0.000 Ni
0.000 0.500 0.500 Ni
0.500 0.000 0.500 Ni
0.000 0.000 0.000 Ni
0.500 0.500 0.500 Os
```

Output
DOS(E_F) (states/eV/cell): 6.39
Total moment (μB per cell): 0.002
Volume (A^3/atom): 17.57
DFT formation energy (eV/atom): 1.617
Total energy (eV per atom): -5.25


(4)
Material: Y2Cu2Ge3
Method: DFT, PBE
State: optimized geometry

Cell and atoms, written as POSCAR:
```
Y2Cu2Ge3
1.0
4.138 0.000 -0.987
0.000 6.747 0.000
0.029 0.000 9.296
Ge Cu Y
6 4 4
direct
0.435 0.939 0.869 Ge
0.565 0.061 0.131 Ge
0.435 0.561 0.869 Ge
0.778 0.250 0.556 Ge
0.222 0.750 0.444 Ge
0.565 0.439 0.131 Ge
0.693 0.939 0.386 Cu
0.307 0.061 0.614 Cu
0.693 0.561 0.386 Cu
0.307 0.439 0.614 Cu
0.051 0.750 0.103 Y
0.843 0.750 0.686 Y
0.157 0.250 0.314 Y
0.949 0.250 0.897 Y
```

Output
DOS(E_F) (states/eV/cell): 2.24
Total moment (μB per cell): 0.000
Volume (A^3/atom): 18.55
DFT formation energy (eV/atom): -0.631
Total energy (eV per atom): -5.63


(5)
Material: Ce2MnGe4Ir3
Method: DFT, PBE
State: optimized geometry

Cell and atoms, written as POSCAR:
```
Ce2MnGe4Ir3
1.0
4.198 0.000 0.000
0.000 4.198 0.000
0.000 0.000 10.413
Ir Ge Mn Ce
3 4 1 2
direct
0.000 0.500 0.130 Ir
0.500 0.000 0.870 Ir
0.000 0.000 0.500 Ir
0.500 0.500 0.000 Ge
0.000 0.500 0.366 Ge
0.500 0.000 0.634 Ge
0.000 0.000 0.000 Ge
0.500 0.500 0.500 Mn
0.500 0.000 0.245 Ce
0.000 0.500 0.755 Ce
```

Output
DOS(E_F) (states/eV/cell): 7.81
Total moment (μB per cell): 2.861
Volume (A^3/atom): 18.35
DFT formation energy (eV/atom): -0.686
Total energy (eV per atom): -7.30


(6)
Material: CrHS2
Method: DFT, PBE
State: optimized geometry

Cell and atoms, written as POSCAR:
```
CrHS2
1.0
3.890 -0.856 0.837
1.150 -0.690 3.842
1.051 -3.755 1.166
S H Cr
2 1 1
direct
0.750 0.750 0.750 S
0.250 0.250 0.250 S
0.000 0.000 0.000 H
0.500 0.500 0.500 Cr
```

Output
DOS(E_F) (states/eV/cell): 1.54
Total moment (μB per cell): 2.016
Volume (A^3/atom): 11.92
Total energy (eV per atom): -4.98


(7)
Material: AcSm4Tl
Method: DFT, PBE
State: optimized geometry

Cell and atoms, written as POSCAR:
```
AcSm4Tl
1.0
-3.073 -0.152 -2.178
-2.007 -1.282 2.922
-3.285 13.548 3.687
Sm Ac Tl
4 1 1
direct
0.000 0.000 0.358 Sm
0.000 0.000 0.642 Sm
0.500 0.500 0.188 Sm
0.500 0.500 0.812 Sm
0.000 0.000 0.000 Ac
0.500 0.500 0.500 Tl
```

Output
DOS(E_F) (states/eV/cell): 8.57
Total moment (μB per cell): 0.000
Volume (A^3/atom): 34.14
DFT formation energy (eV/atom): -0.092
Total energy (eV per atom): -4.32


(8)
Material: Nd4Ho2Pb3O2
Method: DFT, PBE
State: optimized geometry

Cell and atoms, written as POSCAR:
```
Nd4Ho2Pb3O2
1.0
-1.905 -3.817 2.261
1.221 -2.817 -3.727
11.701 0.924 6.264
O Pb Nd Ho
2 3 4 2
direct
0.393 0.393 0.786 O
0.607 0.607 0.214 O
0.818 0.818 0.636 Pb
0.182 0.182 0.364 Pb
0.000 0.000 0.000 Pb
0.585 0.085 0.169 Nd
0.415 0.915 0.831 Nd
0.085 0.585 0.169 Nd
0.915 0.415 0.831 Nd
0.307 0.307 0.613 Ho
0.693 0.693 0.387 Ho
```

Output
DOS(E_F) (states/eV/cell): 4.28
Formation energy (no corrections) (eV per atom): -1.34
Total moment (μB per cell): 0.000
Volume (A^3/atom): 27.26
Total energy (eV per atom): -5.82


Question: What is the volume in the eighth record?
Answer: 27.26 A^3/atom